1.
A plane-wave DFT calculation with PBE-GGA was carried out for Tl2ReTcTe after structural relaxation.

abc: 6.036 4.939 6.036
angles: 90.00 90.00 90.00
Sites, in units of the cell vectors:
Re1 0.000 0.500 0.000
Tl1 0.000 0.000 0.500
Tl2 0.500 0.000 0.000
Te1 0.000 0.000 0.000
Tc1 0.500 0.500 0.500

Output
As for the space group: P4/mmm. For the energy relative to the elements, uncorrected, the calculation gives 2.08 eV per atom. The value obtained for the raw total energy is -20.3 eV for the cell shown. The value obtained for the spin magnetization is 6.42 μB per cell.

2.
A plane-wave DFT calculation with PBE-GGA was carried out for Al2FeNi8 after structural relaxation.

abc: 3.800 6.246 6.539
angles: 118.53 106.89 90.00
Sites, in units of the cell vectors:
Al1 0.196 0.696 0.392
Al2 0.804 0.304 0.608
Fe1 0.500 0.000 0.000
Ni1 0.652 0.870 0.304
Ni2 0.348 0.566 0.696
Ni3 0.150 0.150 0.300
Ni4 0.000 0.293 0.000
Ni5 0.850 0.850 0.700
Ni6 0.652 0.434 0.304
Ni7 0.348 0.130 0.696
Ni8 0.000 0.707 0.000

Output
As for the space group: Immm. The polymorph energy (0 for the lowest one) comes out at 0.000 eV per formula unit. The calculation puts the formation enthalpy at 0 K at -0.201 eV per atom. The value obtained for the raw total energy is -64.4 eV for the cell shown. The value obtained for the spin magnetization is 4.86 μB per cell.

3.
A plane-wave DFT calculation with PBE-GGA was carried out for Co2IrCl after structural relaxation.

abc: 7.973 7.973 7.973
angles: 20.43 20.43 20.43
Sites, in units of the cell vectors:
Ir1 0.250 0.250 0.250
Co1 0.003 0.003 0.003
Co2 0.497 0.497 0.497
Cl1 0.750 0.750 0.750

Output
As for the space group: R-3m. The polymorph energy (0 for the lowest one) comes out at 0.182 eV per formula unit. For the energy relative to the elements, uncorrected, the calculation gives 0.31 eV per atom. The value obtained for the raw total energy is -23.7 eV for the cell shown. The value obtained for the spin magnetization is 4.36 μB per cell.

4.
A plane-wave DFT calculation with PBE-GGA was carried out for Al12Zn5Mo3 after structural relaxation.

abc: 13.041 13.041 13.041
angles: 109.47 109.47 109.47
Sites, in units of the cell vectors:
Mo1 0.750 0.375 0.125
Mo2 0.875 0.750 0.125
Mo3 0.375 0.750 0.625
Mo4 0.250 0.125 0.375
Mo5 0.875 0.125 0.250
Mo6 0.375 0.625 0.250
Mo7 0.625 0.375 0.750
Mo8 0.125 0.875 0.750
Mo9 0.750 0.875 0.625
Mo10 0.625 0.250 0.375
Mo11 0.125 0.250 0.875
Mo12 0.250 0.625 0.875
Zn1 0.125 0.375 0.250
Zn2 0.000 0.500 0.000
Zn3 0.000 0.000 0.000
Zn4 0.375 0.250 0.125
Zn5 0.500 0.000 0.500
Zn6 0.500 0.500 0.000
Zn7 0.125 0.750 0.375
Zn8 0.750 0.125 0.875
Zn9 0.750 0.625 0.375
Zn10 0.375 0.125 0.750
Zn11 0.625 0.875 0.250
Zn12 0.500 0.500 0.500
Zn13 0.500 0.000 0.000
Zn14 0.000 0.000 0.500
Zn15 0.250 0.375 0.625
Zn16 0.250 0.875 0.125
Zn17 0.000 0.500 0.500
Zn18 0.875 0.250 0.625
Zn19 0.625 0.750 0.875
Zn20 0.875 0.625 0.750
Al1 0.730 0.149 0.073
Al2 0.342 0.573 0.424
Al3 0.927 0.351 0.270
Al4 0.573 0.230 0.149
Al5 0.581 0.730 0.658
Al6 0.927 0.576 0.158
Al7 0.342 0.770 0.419
Al8 0.076 0.919 0.149
Al9 0.576 0.927 0.658
Al10 0.730 0.581 0.158
Al11 0.770 0.427 0.351
Al12 0.842 0.924 0.073
Al13 0.149 0.730 0.573
Al14 0.351 0.424 0.081
Al15 0.081 0.924 0.351
Al16 0.419 0.149 0.576
Al17 0.081 0.158 0.230
Al18 0.427 0.658 0.076
Al19 0.842 0.919 0.270
Al20 0.149 0.419 0.076
Al21 0.351 0.927 0.770
Al22 0.576 0.649 0.419
Al23 0.924 0.842 0.573
Al24 0.770 0.342 0.919
Al25 0.424 0.351 0.581
Al26 0.076 0.158 0.427
Al27 0.230 0.658 0.081
Al28 0.158 0.081 0.730
Al29 0.649 0.073 0.230
Al30 0.851 0.581 0.924
Al31 0.573 0.342 0.924
Al32 0.581 0.851 0.424
Al33 0.919 0.842 0.770
Al34 0.919 0.076 0.649
Al35 0.851 0.270 0.427
Al36 0.158 0.076 0.927
Al37 0.649 0.576 0.919
Al38 0.424 0.073 0.342
Al39 0.270 0.419 0.842
Al40 0.230 0.573 0.649
Al41 0.924 0.081 0.851
Al42 0.658 0.230 0.581
Al43 0.427 0.770 0.851
Al44 0.073 0.424 0.842
Al45 0.419 0.270 0.342
Al46 0.073 0.649 0.730
Al47 0.658 0.427 0.576
Al48 0.270 0.851 0.927

Output
As for the space group: Ia-3d. The calculation puts the formation enthalpy at 0 K at 0.474 eV per atom. The value obtained for the raw total energy is -297.2 eV for the cell shown. The value obtained for the spin magnetization is 0.00 μB per cell.

> spin magnetization of number 1 (Tl2ReTcTe)?

6.42 μB per cell

> raw total energy of number 2 (Al2FeNi8)?

-64.4 eV for the cell shown